Model P:
# Mn2AlIn2

Mn2AlIn2 after structural relaxation (GGA-PBE, Alexandria via LeMat-Bulk).

```
Mn2AlIn2
1.0
-2.1179 2.5349 2.1745
-3.3264 -1.3703 -1.6423
-3.1859 -3.6158 4.7084
Mn Al In
2 1 2
Cartesian
-5.8261 -2.2919 4.1898
-2.8041 -0.1593 1.0509
0.0000 0.0000 0.0000
-4.6172 -2.2019 1.6661
-4.0130 -0.2493 3.5745
```

Results
- space-group type = I4/mmm

Model Q:
# Mn2AlIn2

Mn2AlIn2 after structural relaxation (GGA-PBE, Alexandria via LeMat-Bulk).

```
Mn2AlIn2
1.0
-5.4727 -2.7666 2.0293
2.8116 -5.8058 -0.3329
1.2735 0.3893 3.9652
In Mn Al
4 4 2
Cartesian
-0.7377 -1.6883 2.6089
-2.9927 -4.0656 3.5666
-0.6499 -6.4948 3.0527
1.6051 -4.1175 2.0950
0.2309 -2.4719 0.1685
-3.1137 -2.5990 1.2553
-2.8921 -6.1005 1.5279
0.4526 -5.9734 0.4411
-1.3306 -4.2862 0.8482
0.0000 0.0000 0.0000
```

Results
- space-group type = P4/mbm

Among the structures above, stability is smallest for model P.